Entry 1:
A plane-wave DFT calculation with PBE was carried out for SiRuS2 after structural relaxation.

Unit cell a=5.215 b=5.215 c=6.421 alpha=66.04 beta=66.04 gamma=90.00
Sites, in units of the cell vectors:
S1 0.622 0.125 0.250
Ru1 0.000 0.000 0.000
S2 0.875 0.872 0.750
Si1 0.500 0.500 0.000
S3 0.375 0.378 0.750
Si2 0.250 0.750 0.500
Ru2 0.750 0.250 0.500
S4 0.128 0.625 0.250

## Properties
M_tot = 0.00 μB per formula unit
Total DFT energy (no corrections) = -0.4165 Ry/atom
E_form (uncorrected) = 0.071 eV per atom
Symmetry = I-42d

Entry 2:
A plane-wave DFT calculation with PBE was carried out for SiRu2S after structural relaxation.

Unit cell a=5.294 b=5.294 c=6.393 alpha=65.54 beta=65.54 gamma=90.00
Sites, in units of the cell vectors:
S1 0.750 0.250 0.500
Ru1 0.111 0.625 0.250
Si1 0.250 0.750 0.500
Si2 0.500 0.500 0.000
S2 0.000 0.000 0.000
Ru2 0.375 0.361 0.750
Ru3 0.639 0.125 0.250
Ru4 0.875 0.889 0.750

## Properties
M_tot = 0.00 μB per formula unit
Total DFT energy (no corrections) = -0.5172 Ry/atom
E_form (uncorrected) = -0.011 eV per atom
Symmetry = I-42d
Energy above the most stable polymorph in this dataset = 25.6 meV per atom

Entry 3:
A plane-wave DFT calculation with PBE was carried out for SiRu2S after structural relaxation.

Unit cell a=4.212 b=4.212 c=4.212 alpha=60.00 beta=60.00 gamma=60.00
Sites, in units of the cell vectors:
Ru1 0.250 0.250 0.250
Ru2 0.750 0.750 0.750
S1 0.500 0.500 0.500
Si1 0.000 0.000 0.000

## Properties
M_tot = 0.00 μB per formula unit
Total DFT energy (no corrections) = -0.5191 Ry/atom
E_form (uncorrected) = -0.037 eV per atom
Symmetry = Fm-3m
Energy above the most stable polymorph in this dataset = 0.0 meV per atom

Q: Number 3 is which compound?
A: SiRu2S